VASP calculation (GGA-PBE) on crystalline K2SrSiSb at its relaxed geometry.

It has space group P4/mmm (No. 123), with a = 6.062 Å, b = 6.062 Å, c = 6.098 Å, α = 90.00°, β = 90.00° and γ = 90.00°. The inequivalent atoms are K at (0.000, 0.500, 0.000), Sr at (0.000, 0.000, 0.500), Si at (0.000, 0.000, 0.000) and Sb at (0.500, 0.500, 0.500).

The uncorrected formation energy is 0.24 eV per atom. Its density of states at the Fermi level is 6.083 states/eV/f.u.

***

VASP calculation (GGA-PBE) on crystalline MnSbBr6 at its relaxed geometry.

It has space group R-3m (No. 166, hexagonal axes), with a = 13.7677 Å, b = 13.7677 Å, c = 6.8979 Å, α = 90.00°, β = 90.00° and γ = 120.00°. The inequivalent atoms are Mn at (0.0000, 0.0000, 0.0000), Sb at (0.0000, 0.0000, 0.5000) and Br at (0.0871, 0.1742, 0.7787).

For the energy above the lowest structure with this stoichiometry, the calculation gives 0 meV/atom. The uncorrected formation energy is -0.58 eV per atom. Its density of states at the Fermi level is 6.412 states/eV/f.u.

***

VASP calculation (GGA-PBE) on crystalline SiAu at its relaxed geometry.

It has space group P4/nmm (No. 129, origin choice 2), with a = 2.922 Å, b = 2.922 Å, c = 7.782 Å, α = 90.00°, β = 90.00° and γ = 90.00°. The inequivalent atoms are Si at (0.250, 0.250, 0.118) and Au at (0.250, 0.250, 0.647).

The uncorrected formation energy is 0.27 eV per atom. Its density of states at the Fermi level is 0.682 states/eV/f.u.

***

VASP calculation (GGA-PBE) on crystalline Tb4ZnGa2 at its relaxed geometry.

It has space group I4/mmm (No. 139), with a = 7.075 Å, b = 7.075 Å, c = 7.204 Å, α = 90.00°, β = 90.00° and γ = 90.00°. The inequivalent atoms are Tb at (0.250, 0.250, 0.250), Zn at (0.000, 0.000, 0.000) and Ga at (0.000, 0.500, 0.000).

For the energy above the lowest structure with this stoichiometry, the calculation gives 0 meV/atom. For the formation energy from the elements, the calculation gives -0.389 eV per atom. Its density of states at the Fermi level is 4.570 states/eV/f.u.

***

VASP calculation (GGA-PBE) on crystalline Re4W at its relaxed geometry.

It has space group Pm-3m (No. 221), with a = 4.653 Å, b = 4.653 Å, c = 4.653 Å, α = 90.00°, β = 90.00° and γ = 90.00°. The inequivalent atoms are Re at (0.000, 0.000, 0.000), Re at (0.000, 0.500, 0.500) and W at (0.500, 0.500, 0.500).

For the energy above the lowest structure with this stoichiometry, the calculation gives 2544 meV/atom. For the formation energy from the elements, the calculation gives 2.651 eV per atom. Its density of states at the Fermi level is 5.388 states/eV/f.u.

***

VASP calculation (GGA-PBE) on crystalline CePN3 at its relaxed geometry.

It has space group C2/c (No. 15), with a = 10.102 Å, b = 9.909 Å, c = 5.373 Å, α = 90.00°, β = 104.10° and γ = 90.00°. The inequivalent atoms are Ce at (0.000, 0.106, 0.250), Ce at (0.000, 0.335, 0.750), P at (0.212, 0.414, 0.257), N at (0.124, 0.103, 0.668), N at (0.126, 0.280, 0.150) and N at (0.155, 0.473, 0.510).

The uncorrected formation energy is -0.92 eV per atom.

***

VASP calculation (GGA-PBE) on crystalline PrGa4O7 at its relaxed geometry.

It has space group Pmn2_1 (No. 31), with a = 13.236 Å, b = 5.304 Å, c = 5.067 Å, α = 90.00°, β = 90.00° and γ = 90.00°. The inequivalent atoms are Pr at (0.000, 0.085, 0.000), Ga at (0.120, 0.654, 0.442), Ga at (0.247, 0.176, 0.417), O at (0.000, 0.795, 0.311), O at (0.119, 0.777, 0.792), O at (0.121, 0.317, 0.326) and O at (0.231, 0.834, 0.290).

The uncorrected formation energy is -1.95 eV per atom. Its density of states at the Fermi level is 1.996 states/eV/f.u.

***

VASP calculation (GGA-PBE) on crystalline Nb2Rh at its relaxed geometry.

It has space group C2/m (No. 12), with a = 9.661 Å, b = 4.551 Å, c = 5.605 Å, α = 90.00°, β = 124.96° and γ = 90.00°. The inequivalent atoms are Nb at (0.000, 0.000, 0.000), Nb at (0.000, 0.000, 0.500), Nb at (0.172, 0.500, 0.324) and Rh at (0.154, 0.500, 0.808).

For the formation energy from the elements, the calculation gives -0.265 eV per atom. Its density of states at the Fermi level is 2.702 states/eV/f.u.

***

VASP calculation (GGA-PBE) on crystalline ThScIr at its relaxed geometry.

It has space group F-43m (No. 216), with a = 6.764 Å, b = 6.764 Å, c = 6.764 Å, α = 90.00°, β = 90.00° and γ = 90.00°. The inequivalent atoms are Th at (0.000, 0.000, 0.000), Sc at (0.000, 0.000, 0.500) and Ir at (0.250, 0.250, 0.750).

For the energy above the lowest structure with this stoichiometry, the calculation gives 145 meV/atom. For the formation energy from the elements, the calculation gives -0.595 eV per atom. Its density of states at the Fermi level is 3.487 states/eV/f.u.

***

VASP calculation (GGA-PBE) on crystalline PrNd3Si2 at its relaxed geometry.

It has space group C2/m (No. 12), with a = 17.614 Å, b = 4.479 Å, c = 9.442 Å, α = 90.00°, β = 114.84° and γ = 90.00°. The inequivalent atoms are Pr at (0.116, 0.000, 0.132), Nd at (0.046, 0.000, 0.697), Nd at (0.153, 0.500, 0.473), Nd at (0.190, 0.500, 0.885), Si at (0.008, 0.500, 0.876) and Si at (0.236, 0.000, 0.713).

For the energy above the lowest structure with this stoichiometry, the calculation gives 0 meV/atom. The uncorrected formation energy is -0.46 eV per atom. Its density of states at the Fermi level is 5.889 states/eV/f.u.